First-principles (PBE) data for YNb3Tl after structural relaxation, as listed in Alexandria via LeMat-Bulk.

Cell lengths 5.171, 5.171, 5.171 Å; angles 90.00, 90.00, 90.00 degrees
Fractional positions:
Y1 0.000 0.000 0.000
Nb1 0.000 0.500 0.500
Nb2 0.500 0.000 0.500
Nb3 0.500 0.500 0.000
Tl1 0.500 0.500 0.500

Properties
energy relative to the elements	8.1	eV per formula unit
space group	No. 221
V	138	Å³ per cell

First-principles (PBE) data for RbSrOs2O8 after structural relaxation, as listed in Alexandria via LeMat-Bulk.

Cell lengths 5.350, 5.350, 9.046 Å; angles 90.98, 90.98, 73.16 degrees
Fractional positions:
Rb1 0.000 0.000 0.000
Sr1 0.000 0.000 0.500
Os1 0.395 0.395 0.727
Os2 0.605 0.605 0.273
O1 0.226 0.736 0.718
O2 0.264 0.774 0.282
O3 0.291 0.291 0.554
O4 0.328 0.328 0.910
O5 0.672 0.672 0.090
O6 0.709 0.709 0.446
O7 0.736 0.226 0.718
O8 0.774 0.264 0.282

Properties
space group	No. 12
raw formation energy	-1.440	eV per atom
V	248	Å³ per cell

First-principles (PBE) data for Pu2CoCu after structural relaxation, as listed in Alexandria via LeMat-Bulk.

Cell lengths 10.121, 10.121, 10.121 Å; angles 15.31, 15.31, 15.31 degrees
Fractional positions:
Pu1 0.247 0.247 0.247
Pu2 0.753 0.753 0.753
Co1 0.500 0.500 0.500
Cu1 0.000 0.000 0.000

Properties
energy relative to the elements	1.5	eV per formula unit
space group	No. 166
V	63	Å³ per cell

First-principles (PBE) data for Zr3Si after structural relaxation, as listed in Alexandria via LeMat-Bulk.

Cell lengths 5.601, 5.601, 5.601 Å; angles 116.65, 116.65, 116.65 degrees
Fractional positions:
Zr1 0.000 0.500 0.500
Zr2 0.500 0.000 0.500
Zr3 0.500 0.500 0.000
Si1 0.000 0.000 0.000

Properties
space group	No. 166
raw formation energy	-0.165	eV per atom
V	82	Å³ per cell

- Look up the V of the fourth one.
  82 Å³ per cell